DFT (PBE) results for a relaxed Cs2NiRhS4 crystal.

Space group ... No. 70
Formation energy (no corrections) ... -656 meV/atom
Density ... 3.86 g/cm3
VASP energy ... -4.575 eV/atom

Unit cell a=5.5374 b=7.6002 c=12.5121 alpha=85.38 beta=77.22 gamma=68.64
Fractional coordinates of all 16 atoms:
1 S 0.8699 0.6749 0.6010
2 S 0.5290 0.3251 0.6010
3 S 0.2210 0.1749 0.8990
4 S 0.8801 0.8251 0.8990
5 S 0.4552 0.6749 0.3990
6 S 0.6041 0.1749 0.1010
7 S 0.1459 0.3251 0.3990
8 S 0.2948 0.8251 0.1010
9 Rh 0.7500 0.5000 0.5000
10 Rh 0.0000 0.0000 0.0000
11 Cs 0.9283 0.5000 0.1434
12 Cs 0.1783 0.0000 0.6434
13 Cs 0.5717 0.5000 0.8566
14 Cs 0.8217 0.0000 0.3566
15 Ni 0.2500 0.5000 0.5000
16 Ni 0.5000 0.0000 0.0000